DFT (PBE) results for Li2CePr2Sb2 after structural relaxation.

Cell: 4.8016 4.8016 9.7651 Å, 75.77 75.77 60.00°
Last column: magnetic moment on the atom in μB.
Positions (direct):
1 Pr 0.8719 0.8719 0.3844  0.02
2 Pr 0.1281 0.1281 0.6156  0.02
3 Sb 0.7330 0.7330 0.8009  -0.01
4 Sb 0.2670 0.2670 0.1991  -0.01
5 Li 0.5977 0.5977 0.2068  0.01
6 Li 0.4023 0.4023 0.7932  0.01
7 Ce 0.0000 0.0000 0.0000  0.93

Computed properties:
formation energy from raw total energies = -390 kJ/mol of formula units
spin magnetization = 1.24 μB per formula unit
density of states at the Fermi level = 10.2 states/eV per cell
DFT total energy = -31.60 eV for the cell shown
SG = R-3m, No. 166



DFT (PBE) results for DyZr5C4 after structural relaxation.

Cell: 3.3866 6.8329 7.5456 Å, 103.87 102.97 90.00°
Positions (direct):
1 Zr 0.1655 0.8527 0.3311
2 Zr 0.8345 0.1473 0.6689
3 Zr 0.5000 0.5000 0.0000
4 Zr 0.8355 0.6820 0.6711
5 Zr 0.1645 0.3180 0.3289
6 Dy 0.5000 0.0000 0.0000
7 C 0.3271 0.9064 0.6541
8 C 0.0044 0.2684 0.0088
9 C 0.9956 0.7316 0.9912
10 C 0.6729 0.0936 0.3459

Computed properties:
spin magnetization = 0.00 μB per formula unit
density of states at the Fermi level = 5.4 states/eV per cell
DFT total energy = -89.51 eV for the cell shown
SG = C2/m, No. 12
DFT formation energy = -0.53 eV per atom



DFT (PBE) results for In3Ag5Br12 after structural relaxation.

Cell: 14.6736 14.6736 14.6736 Å, 109.47 109.47 109.47°
Positions (direct):
1 Br 0.1749 0.0868 0.9549
2 Br 0.5868 0.9549 0.6749
3 Br 0.3681 0.9549 0.7800
4 Br 0.9118 0.0868 0.6319
5 Br 0.9549 0.5868 0.1749
6 Br 0.5451 0.3251 0.9132
7 Br 0.3251 0.5451 0.4132
8 Br 0.8681 0.5882 0.9132
9 Br 0.6319 0.0451 0.2200
10 Br 0.7800 0.3251 0.9118
11 Br 0.2200 0.6749 0.0882
12 Br 0.9132 0.8251 0.5451
13 Br 0.8251 0.9132 0.0451
14 Br 0.9549 0.3681 0.2800
15 Br 0.4549 0.7800 0.8681
16 Br 0.7200 0.1319 0.0451
17 Br 0.2800 0.8681 0.9549
18 Br 0.5451 0.2200 0.1319
19 Br 0.7200 0.5882 0.1749
20 Br 0.4132 0.0451 0.3251
21 Br 0.0868 0.9118 0.1319
22 Br 0.0882 0.9132 0.3681
23 Br 0.3681 0.4132 0.0882
24 Br 0.4549 0.6749 0.0868
25 Br 0.0882 0.1749 0.2200
26 Br 0.9132 0.0882 0.8681
27 Br 0.7800 0.4549 0.3681
28 Br 0.4118 0.1319 0.5868
29 Br 0.9118 0.8251 0.7800
30 Br 0.1319 0.4118 0.0868
31 Br 0.2800 0.4118 0.8251
32 Br 0.5882 0.7200 0.6749
33 Br 0.1319 0.7200 0.5451
34 Br 0.4132 0.3681 0.5882
35 Br 0.6749 0.2200 0.5882
36 Br 0.4118 0.2800 0.3251
37 Br 0.6319 0.5868 0.9118
38 Br 0.5882 0.8681 0.4132
39 Br 0.0451 0.6319 0.7200
40 Br 0.2200 0.5451 0.6319
41 Br 0.0451 0.4132 0.8251
42 Br 0.0868 0.1749 0.4549
43 Br 0.1749 0.0882 0.7200
44 Br 0.3251 0.7800 0.4118
45 Br 0.8251 0.9118 0.2800
46 Br 0.5868 0.6319 0.4118
47 Br 0.6749 0.4549 0.5868
48 Br 0.8681 0.2800 0.4549
49 Ag 0.5000 0.0000 0.0000
50 Ag 0.7500 0.1250 0.8750
51 Ag 0.1250 0.3750 0.2500
52 Ag 0.8750 0.6250 0.7500
53 Ag 0.0000 0.5000 0.0000
54 Ag 0.8750 0.2500 0.6250
55 Ag 0.3750 0.1250 0.7500
56 Ag 0.6250 0.7500 0.8750
57 Ag 0.0000 0.0000 0.0000
58 Ag 0.2500 0.8750 0.1250
59 Ag 0.2500 0.3750 0.6250
60 Ag 0.3750 0.2500 0.1250
61 Ag 0.0000 0.0000 0.5000
62 Ag 0.7500 0.6250 0.3750
63 Ag 0.5000 0.5000 0.5000
64 Ag 0.5000 0.0000 0.5000
65 Ag 0.0000 0.5000 0.5000
66 Ag 0.6250 0.8750 0.2500
67 Ag 0.1250 0.7500 0.3750
68 Ag 0.5000 0.5000 0.0000
69 In 0.3750 0.7500 0.6250
70 In 0.8750 0.1250 0.2500
71 In 0.2500 0.1250 0.3750
72 In 0.6250 0.3750 0.7500
73 In 0.6250 0.2500 0.3750
74 In 0.1250 0.8750 0.7500
75 In 0.7500 0.3750 0.1250
76 In 0.1250 0.2500 0.8750
77 In 0.3750 0.6250 0.2500
78 In 0.7500 0.8750 0.6250
79 In 0.8750 0.7500 0.1250
80 In 0.2500 0.6250 0.8750

Computed properties:
formation energy from raw total energies = -739 kJ/mol of formula units
spin magnetization = 0.00 μB per formula unit
density of states at the Fermi level = 46.4 states/eV per cell
DFT total energy = -200.83 eV for the cell shown
SG = Ia-3d, No. 230



DFT (PBE) results for Hf3ZnSb after structural relaxation.

Cell: 4.9065 4.9065 4.9065 Å, 90.00 90.00 90.00°
Positions (direct):
1 Hf 0.5000 0.0000 0.0000
2 Hf 0.0000 0.0000 0.5000
3 Hf 0.0000 0.5000 0.0000
4 Zn 0.0000 0.0000 0.0000
5 Sb 0.5000 0.5000 0.5000

Computed properties:
polymorph energy (0 for the lowest one) = 292 meV per atom
formation energy from raw total energies = 199 kJ/mol of formula units
spin magnetization = 0.00 μB per formula unit
density of states at the Fermi level = 5.4 states/eV per cell
DFT total energy = -33.19 eV for the cell shown
SG = Pm-3m, No. 221



DFT (PBE) results for K2SrGaBr5 after structural relaxation.

Cell: 4.6219 9.9712 15.3631 Å, 90.00 90.00 103.40°
Positions (direct):
1 Br 0.6102 0.2205 0.4928
2 Br 0.7503 0.5006 0.1661
3 Br 0.5039 0.0077 0.2662
4 Br 0.0832 0.1663 0.0696
5 Br 0.2497 0.4994 0.6661
6 Br 0.3898 0.7795 0.9928
7 Br 0.9168 0.8337 0.5696
8 Br 0.7142 0.4283 0.9016
9 Br 0.4961 0.9923 0.7662
10 Br 0.2858 0.5717 0.4016
11 K 0.1275 0.2550 0.2984
12 K 0.9240 0.8480 0.1511
13 K 0.0760 0.1520 0.6511
14 K 0.8725 0.7450 0.7984
15 Sr 0.2360 0.4720 0.0315
16 Sr 0.7640 0.5280 0.5315
17 Ga 0.4483 0.8967 0.4466
18 Ga 0.5517 0.1033 0.9466

Computed properties:
formation energy from raw total energies = -1371 kJ/mol of formula units
spin magnetization = 0.00 μB per formula unit
density of states at the Fermi level = 0.0 states/eV per cell
DFT total energy = -58.95 eV for the cell shown
SG = Cmc2_1, No. 36



DFT (PBE) results for Ac3Mg4In4 after structural relaxation.

Cell: 5.0105 7.8609 9.4388 Å, 114.61 105.39 90.00°
Positions (direct):
1 Mg 0.6704 0.8617 0.3409
2 Mg 0.3296 0.1383 0.6591
3 Mg 0.3296 0.5208 0.6591
4 Mg 0.6704 0.4792 0.3409
5 Ac 0.0000 0.5000 0.0000
6 Ac 0.1246 0.1246 0.2493
7 Ac 0.8754 0.8754 0.7507
8 In 0.5000 0.8089 0.0000
9 In 0.7821 0.2821 0.5642
10 In 0.5000 0.1911 0.0000
11 In 0.2179 0.7179 0.4358

Computed properties:
polymorph energy (0 for the lowest one) = 0 meV per atom
spin magnetization = 0.00 μB per formula unit
density of states at the Fermi level = 7.4 states/eV per cell
DFT total energy = -33.85 eV for the cell shown
SG = Immm, No. 71
DFT formation energy = -0.38 eV per atom



Question: Look up the density of states at the Fermi level of the sixth one.
Answer: 7.4 states/eV per cell



Question: What is the spin magnetization in the fourth record?
Answer: 0.00 μB per formula unit



Question: Which formula does entry 5 have?
Answer: K2SrGaBr5



What did the fifth record say?
DFT (PBE) results for K2SrGaBr5 after structural relaxation.

Cell: 4.6219 9.9712 15.3631 Å, 90.00 90.00 103.40°
Positions (direct):
1 Br 0.6102 0.2205 0.4928
2 Br 0.7503 0.5006 0.1661
3 Br 0.5039 0.0077 0.2662
4 Br 0.0832 0.1663 0.0696
5 Br 0.2497 0.4994 0.6661
6 Br 0.3898 0.7795 0.9928
7 Br 0.9168 0.8337 0.5696
8 Br 0.7142 0.4283 0.9016
9 Br 0.4961 0.9923 0.7662
10 Br 0.2858 0.5717 0.4016
11 K 0.1275 0.2550 0.2984
12 K 0.9240 0.8480 0.1511
13 K 0.0760 0.1520 0.6511
14 K 0.8725 0.7450 0.7984
15 Sr 0.2360 0.4720 0.0315
16 Sr 0.7640 0.5280 0.5315
17 Ga 0.4483 0.8967 0.4466
18 Ga 0.5517 0.1033 0.9466

Computed properties:
formation energy from raw total energies = -1371 kJ/mol of formula units
spin magnetization = 0.00 μB per formula unit
density of states at the Fermi level = 0.0 states/eV per cell
DFT total energy = -58.95 eV for the cell shown
SG = Cmc2_1, No. 36